Zr2NbIrN | GGA-PBE | relaxed

**Spin magnetization**: 0.000 μB/f.u.
**SG**: No. 123
**Mass density**: 9.640 g/cm3

a = 4.4720 Å, b = 4.4720 Å, c = 4.1480 Å
α = 90.00°, β = 90.00°, γ = 90.00°
Fractional positions:
Nb1 0.0000 0.0000 0.5000
Ir1 0.5000 0.5000 0.5000
Zr1 0.0000 0.5000 0.0000
Zr2 0.5000 0.0000 0.0000
N1 0.0000 0.0000 0.0000

=====

Nd6Ir2N | GGA-PBE | relaxed

**Spin magnetization**: 0.000 μB/f.u.
**SG**: No. 14
**Mass density**: 8.775 g/cm3

a = 6.6398 Å, b = 7.3295 Å, c = 9.8361 Å
α = 90.00°, β = 87.85°, γ = 90.00°
Fractional positions:
Nd1 0.1271 0.0415 0.2599
Nd2 0.1725 0.3109 0.5655
Nd3 0.1902 0.3303 0.9412
Nd4 0.3098 0.8303 0.5588
Nd5 0.3275 0.8109 0.9345
Nd6 0.3729 0.5415 0.2401
Nd7 0.8729 0.9585 0.7401
Nd8 0.8275 0.6891 0.4345
Nd9 0.8098 0.6697 0.0588
Nd10 0.6902 0.1697 0.4412
Nd11 0.6725 0.1891 0.0655
Nd12 0.6271 0.4585 0.7599
Ir1 0.0462 0.6025 0.7583
Ir2 0.4538 0.1025 0.7417
Ir3 0.5462 0.8975 0.2583
Ir4 0.9538 0.3975 0.2417
N1 0.5000 0.5000 0.0000
N2 0.0000 0.0000 0.5000

=====

NdIrN | GGA-PBE | relaxed

**Spin magnetization**: 0.000 μB/f.u.
**SG**: No. 63
**Mass density**: 10.532 g/cm3

a = 5.0149 Å, b = 5.0271 Å, c = 5.0502 Å
α = 90.00°, β = 119.77°, γ = 90.00°
Fractional positions:
Nd1 0.3073 0.7500 0.6145
Nd2 0.6927 0.2500 0.3855
N1 0.1900 0.2500 0.3800
N2 0.8100 0.7500 0.6200
Ir1 0.0000 0.0000 0.0000
Ir2 0.0000 0.5000 0.0000

=====

Nd3Ir5N12 | GGA-PBE | relaxed

**Spin magnetization**: 0.000 μB/f.u.
**SG**: No. 230
**Mass density**: 9.725 g/cm3

a = 11.1490 Å, b = 11.1490 Å, c = 11.1490 Å
α = 109.47°, β = 109.47°, γ = 109.47°
Fractional positions:
Nd1 0.7500 0.3750 0.1250
Nd2 0.8750 0.7500 0.1250
Nd3 0.3750 0.7500 0.6250
Nd4 0.2500 0.1250 0.3750
Nd5 0.8750 0.1250 0.2500
Nd6 0.3750 0.6250 0.2500
Nd7 0.6250 0.3750 0.7500
Nd8 0.1250 0.8750 0.7500
Nd9 0.7500 0.8750 0.6250
Nd10 0.6250 0.2500 0.3750
Nd11 0.1250 0.2500 0.8750
Nd12 0.2500 0.6250 0.8750
Ir1 0.1250 0.3750 0.2500
Ir2 0.0000 0.5000 0.0000
Ir3 0.0000 0.0000 0.0000
Ir4 0.3750 0.2500 0.1250
Ir5 0.5000 0.0000 0.5000
Ir6 0.5000 0.5000 0.0000
Ir7 0.1250 0.7500 0.3750
Ir8 0.7500 0.1250 0.8750
Ir9 0.7500 0.6250 0.3750
Ir10 0.3750 0.1250 0.7500
Ir11 0.6250 0.8750 0.2500
Ir12 0.5000 0.5000 0.5000
Ir13 0.5000 0.0000 0.0000
Ir14 0.0000 0.0000 0.5000
Ir15 0.2500 0.3750 0.6250
Ir16 0.2500 0.8750 0.1250
Ir17 0.0000 0.5000 0.5000
Ir18 0.8750 0.2500 0.6250
Ir19 0.6250 0.7500 0.8750
Ir20 0.8750 0.6250 0.7500
N1 0.6996 0.1155 0.0184
N2 0.3188 0.5184 0.4029
N3 0.9816 0.3845 0.3004
N4 0.5184 0.1996 0.1155
N5 0.5841 0.6996 0.6812
N6 0.9816 0.5971 0.1812
N7 0.3188 0.8004 0.4159
N8 0.0971 0.9159 0.1155
N9 0.5971 0.9816 0.6812
N10 0.6996 0.5841 0.1812
N11 0.8004 0.4816 0.3845
N12 0.8188 0.9029 0.0184
N13 0.1155 0.6996 0.5184
N14 0.3845 0.4029 0.0841
N15 0.0841 0.9029 0.3845
N16 0.4159 0.1155 0.5971
N17 0.0841 0.1812 0.1996
N18 0.4816 0.6812 0.0971
N19 0.8188 0.9159 0.3004
N20 0.1155 0.4159 0.0971
N21 0.3845 0.9816 0.8004
N22 0.5971 0.6155 0.4159
N23 0.9029 0.8188 0.5184
N24 0.8004 0.3188 0.9159
N25 0.4029 0.3845 0.5841
N26 0.0971 0.1812 0.4816
N27 0.1996 0.6812 0.0841
N28 0.1812 0.0841 0.6996
N29 0.6155 0.0184 0.1996
N30 0.8845 0.5841 0.9029
N31 0.5184 0.3188 0.9029
N32 0.5841 0.8845 0.4029
N33 0.9159 0.8188 0.8004
N34 0.9159 0.0971 0.6155
N35 0.8845 0.3004 0.4816
N36 0.1812 0.0971 0.9816
N37 0.6155 0.5971 0.9159
N38 0.4029 0.0184 0.3188
N39 0.3004 0.4159 0.8188
N40 0.1996 0.5184 0.6155
N41 0.9029 0.0841 0.8845
N42 0.6812 0.1996 0.5841
N43 0.4816 0.8004 0.8845
N44 0.0184 0.4029 0.8188
N45 0.4159 0.3004 0.3188
N46 0.0184 0.6155 0.6996
N47 0.6812 0.4816 0.5971
N48 0.3004 0.8845 0.9816

=====

Nd2IrN | GGA-PBE | relaxed

**Spin magnetization**: 0.000 μB/f.u.
**SG**: No. 166
**Mass density**: 9.769 g/cm3

a = 3.7962 Å, b = 3.7962 Å, c = 7.0853 Å
α = 74.46°, β = 74.46°, γ = 60.00°
Fractional positions:
Ir1 0.0000 0.0000 0.0000
Nd1 0.2386 0.2386 0.2842
Nd2 0.7614 0.7614 0.7158
N1 0.5000 0.5000 0.5000

=====

NdIrN | GGA-PBE | relaxed

**Spin magnetization**: 0.000 μB/f.u.
**SG**: No. 156
**Mass density**: 11.449 g/cm3

a = 4.2769 Å, b = 3.7045 Å, c = 3.7045 Å
α = 120.00°, β = 90.00°, γ = 90.00°
Fractional positions:
Ir1 0.1435 0.0000 0.0000
Nd1 0.6069 0.3333 0.6667
N1 0.2496 0.6667 0.3333

=====

NdPa2IrN4 | GGA-PBE | relaxed

**Spin magnetization**: 0.000 μB/f.u.
**SG**: No. 63
**Mass density**: 11.745 g/cm3

a = 3.5117 Å, b = 6.0998 Å, c = 11.7791 Å
α = 90.00°, β = 90.00°, γ = 106.73°
Fractional positions:
Nd1 0.1071 0.2143 0.7500
Nd2 0.8929 0.7857 0.2500
Pa1 0.3694 0.7389 0.5590
Pa2 0.6306 0.2611 0.0590
Pa3 0.6306 0.2611 0.4410
Pa4 0.3694 0.7389 0.9410
Ir1 0.8435 0.6870 0.7500
Ir2 0.1565 0.3130 0.2500
N1 0.2735 0.5470 0.1063
N2 0.7265 0.4530 0.6063
N3 0.7265 0.4530 0.8937
N4 0.2735 0.5470 0.3937
N5 0.0000 0.0000 0.5000
N6 0.0000 0.0000 0.0000
N7 0.4553 0.9107 0.7500
N8 0.5447 0.0893 0.2500

=====

PrNd2IrN4 | GGA-PBE | relaxed

**Spin magnetization**: 0.000 μB/f.u.
**SG**: No. 63
**Mass density**: 8.797 g/cm3

a = 3.5114 Å, b = 6.3029 Å, c = 12.0356 Å
α = 90.00°, β = 90.00°, γ = 106.17°
Fractional positions:
Pr1 0.1129 0.2259 0.7500
Pr2 0.8871 0.7741 0.2500
Nd1 0.3688 0.7376 0.5443
Nd2 0.6312 0.2624 0.0443
Nd3 0.6312 0.2624 0.4557
Nd4 0.3688 0.7376 0.9557
Ir1 0.8504 0.7008 0.7500
Ir2 0.1496 0.2992 0.2500
N1 0.2745 0.5491 0.1344
N2 0.7255 0.4509 0.6344
N3 0.7255 0.4509 0.8656
N4 0.2745 0.5491 0.3656
N5 0.0000 0.0000 0.5000
N6 0.0000 0.0000 0.0000
N7 0.4432 0.8864 0.7500
N8 0.5568 0.1136 0.2500

=====

NdPu2IrN4 | GGA-PBE | relaxed

**Spin magnetization**: 7.621 μB/f.u.
**SG**: No. 63
**Mass density**: 12.537 g/cm3

a = 3.4003 Å, b = 6.0845 Å, c = 11.7409 Å
α = 90.00°, β = 90.00°, γ = 106.23°
Fractional positions:
Nd1 0.1085 0.2170 0.7500
Nd2 0.8915 0.7830 0.2500
Pu1 0.3704 0.7407 0.5519
Pu2 0.6296 0.2593 0.0519
Pu3 0.6296 0.2593 0.4481
Pu4 0.3704 0.7407 0.9481
Ir1 0.8469 0.6938 0.7500
Ir2 0.1531 0.3062 0.2500
N1 0.2693 0.5386 0.1120
N2 0.7307 0.4614 0.6120
N3 0.7307 0.4614 0.8880
N4 0.2693 0.5386 0.3880
N5 0.0000 0.0000 0.5000
N6 0.0000 0.0000 0.0000
N7 0.4513 0.9026 0.7500
N8 0.5487 0.0974 0.2500

=====

NdSiIrN | GGA-PBE | relaxed

**Spin magnetization**: 0.000 μB/f.u.
**SG**: No. 129
**Mass density**: 9.606 g/cm3

a = 4.0065 Å, b = 4.0065 Å, c = 8.1529 Å
α = 90.00°, β = 90.00°, γ = 90.00°
Fractional positions:
Nd1 0.0000 0.5000 0.8380
Nd2 0.5000 0.0000 0.1620
Si1 0.0000 0.5000 0.3428
Si2 0.5000 0.0000 0.6572
Ir1 0.0000 0.0000 0.5000
Ir2 0.5000 0.5000 0.5000
N1 0.5000 0.0000 0.8708
N2 0.0000 0.5000 0.1292

=====

Tb2NdIrN4 | GGA-PBE | relaxed

**Spin magnetization**: 0.000 μB/f.u.
**SG**: No. 63
**Mass density**: 9.958 g/cm3

a = 3.4338 Å, b = 6.1625 Å, c = 11.6573 Å
α = 90.00°, β = 90.00°, γ = 106.18°
Fractional positions:
Tb1 0.3695 0.7390 0.5436
Tb2 0.6305 0.2610 0.0436
Tb3 0.6305 0.2610 0.4564
Tb4 0.3695 0.7390 0.9564
Nd1 0.1158 0.2315 0.7500
Nd2 0.8842 0.7685 0.2500
Ir1 0.8551 0.7101 0.7500
Ir2 0.1449 0.2899 0.2500
N1 0.2706 0.5412 0.1285
N2 0.7294 0.4588 0.6285
N3 0.7294 0.4588 0.8715
N4 0.2706 0.5412 0.3715
N5 0.0000 0.0000 0.5000
N6 0.0000 0.0000 0.0000
N7 0.4508 0.9017 0.7500
N8 0.5492 0.0983 0.2500

=====

| no. | raw formation energy (eV/atom) |
| --- | --- |
| 1 | -0.8299 |
| 2 | -0.6743 |
| 3 | -0.6192 |
| 4 | 0.0514 |
| 5 | -0.7118 |
| 6 | -0.0869 |
| 7 | -1.1802 |
| 8 | -0.7569 |
| 9 | -0.8543 |
| 10 | -1.1964 |
| 11 | -0.9164 |